Ce5Ge5Pd2 PBE relaxed; calculated total energy = -6.033 eV/atom; formation enthalpy at 0 K = -771.0 meV per atom; volume = 22.76 Å³/atom; energy above the lowest structure with this stoichiometry = 0.0 kJ per mole of atoms; total magnetic moment = 0.166 μB per atom
1.0
4.111 0.000 1.012
2.055 7.583 0.510
0.022 -0.450 8.767
Pd Ge Ce
2 5 5
Cartesian
1.561 3.407 2.516
4.627 3.725 7.773
0.000 0.000 0.000
5.380 5.677 4.715
2.412 4.909 7.915
0.808 1.456 5.574
3.776 2.224 2.373
3.094 3.566 5.144
4.728 6.935 7.362
3.896 5.360 1.885
1.460 0.198 2.927
2.292 1.773 8.403